[1]
Ag2HgPd2, optimized geometry, DFT GGA-PBE; relative energy among the computed polymorphs = 230 meV/atom; calculated density = 10.779 Mg/m³; energy of formation from the pure elements = 0.82 eV per formula unit; total moment = 0.00 μB/f.u.
1.0
-1.893 1.893 6.764
1.893 -1.893 6.764
1.893 1.893 -6.764
Ag Hg Pd
2 1 2
direct
0.250 0.750 0.500
0.750 0.250 0.500
0.000 0.000 0.000
0.402 0.402 0.000
0.598 0.598 0.000

[2]
Ag2HgPd2, optimized geometry, DFT GGA-PBE; relative energy among the computed polymorphs = 147 meV/atom; calculated density = 11.354 Mg/m³; energy of formation from the pure elements = 0.40 eV per formula unit; total moment = 0.00 μB/f.u.
1.0
7.753 0.000 0.000
0.000 7.753 0.000
0.000 0.000 3.061
Ag Hg Pd
4 2 4
direct
0.130 0.370 0.000
0.370 0.870 0.000
0.630 0.130 0.000
0.870 0.630 0.000
0.000 0.000 0.000
0.500 0.500 0.000
0.167 0.667 0.500
0.333 0.167 0.500
0.667 0.833 0.500
0.833 0.333 0.500

[3]
Ag2HgPd3, optimized geometry, DFT GGA-PBE; relative energy among the computed polymorphs = 94 meV/atom; calculated density = 11.644 Mg/m³; energy of formation from the pure elements = 0.00 eV per formula unit; total moment = 0.00 μB/f.u.
1.0
3.644 -4.031 0.000
3.644 4.031 0.000
-1.382 0.000 7.143
Ag Hg Pd
4 2 6
direct
0.119 0.632 0.874
0.368 0.881 0.626
0.632 0.119 0.374
0.881 0.368 0.126
0.419 0.581 0.250
0.581 0.419 0.750
0.083 0.917 0.250
0.159 0.329 0.500
0.329 0.159 0.000
0.671 0.841 0.000
0.841 0.671 0.500
0.917 0.083 0.750

[4]
AgHgPd, optimized geometry, DFT GGA-PBE; relative energy among the computed polymorphs = 31 meV/atom; calculated density = 12.599 Mg/m³; energy of formation from the pure elements = -0.13 eV per formula unit; total moment = 0.00 μB/f.u.
1.0
-1.745 1.745 4.490
1.745 -1.745 4.490
1.745 1.745 -4.490
Ag Hg Pd
1 1 1
direct
0.000 0.000 0.000
0.674 0.674 0.000
0.337 0.337 0.000

[5]
Ag2HgPd9, optimized geometry, DFT GGA-PBE; calculated density = 11.746 Mg/m³; energy of formation from the pure elements = -0.47 eV per formula unit; total moment = 0.00 μB/f.u.
1.0
4.021 0.000 0.000
0.000 4.021 0.000
0.000 0.000 12.016
Ag Hg Pd
2 1 9
direct
0.000 0.000 0.165
0.000 0.000 0.835
0.000 0.000 0.500
0.000 0.500 0.000
0.000 0.500 0.330
0.000 0.500 0.670
0.500 0.000 0.000
0.500 0.000 0.330
0.500 0.000 0.670
0.500 0.500 0.164
0.500 0.500 0.500
0.500 0.500 0.836

[6]
Ag2HgPd8, optimized geometry, DFT GGA-PBE; relative energy among the computed polymorphs = 0 meV/atom; calculated density = 11.102 Mg/m³; energy of formation from the pure elements = 0.63 eV per formula unit; total moment = 0.00 μB/f.u.
1.0
-1.915 4.225 5.860
1.915 -4.225 5.860
1.915 4.225 -5.860
Ag Hg Pd
2 1 8
direct
0.145 0.145 0.000
0.855 0.855 0.000
0.500 0.500 0.000
0.085 0.332 0.753
0.257 0.000 0.257
0.322 0.822 0.500
0.421 0.668 0.753
0.579 0.332 0.247
0.678 0.178 0.500
0.743 0.000 0.743
0.915 0.668 0.247

[7]
AgHg4Pd15, optimized geometry, DFT GGA-PBE; calculated density = 12.619 Mg/m³; energy of formation from the pure elements = -1.76 eV per formula unit; total moment = 0.00 μB/f.u.
1.0
4.036 0.000 0.000
0.000 4.036 0.000
0.000 0.000 20.251
Ag Hg Pd
1 4 15
direct
0.000 0.000 0.000
0.000 0.000 0.198
0.000 0.000 0.399
0.000 0.000 0.601
0.000 0.000 0.802
0.000 0.500 0.098
0.000 0.500 0.299
0.000 0.500 0.500
0.000 0.500 0.701
0.000 0.500 0.902
0.500 0.000 0.098
0.500 0.000 0.299
0.500 0.000 0.500
0.500 0.000 0.701
0.500 0.000 0.902
0.500 0.500 0.000
0.500 0.500 0.197
0.500 0.500 0.399
0.500 0.500 0.601
0.500 0.500 0.803

[8]
Ag2HgPd, optimized geometry, DFT GGA-PBE; relative energy among the computed polymorphs = 232 meV/atom; calculated density = 10.848 Mg/m³; energy of formation from the pure elements = 0.64 eV per formula unit; total moment = 0.00 μB/f.u.
1.0
-3.805 3.805 2.763
3.805 -3.805 2.763
3.805 3.805 -2.763
Ag Hg Pd
4 2 2
direct
0.114 0.125 0.489
0.375 0.886 0.011
0.636 0.625 0.511
0.875 0.364 0.989
0.250 0.750 0.500
0.500 0.500 0.000
0.000 0.000 0.000
0.750 0.250 0.500